No. 1
Below is a relaxed structure of RbSn2P3O12, with properties calculated at the PBEsol level.

Geometry as extended XYZ:
```
36
Lattice="-6.853 0.538 4.754 -2.127 -6.351 5.000 1.376 1.272 9.186" Properties=species:S:1:pos:R:3 pbc="T T T"
O -3.899 -5.501 10.070
P -5.396 -5.498 9.678
P -2.208 0.957 9.262
O -1.293 -3.897 6.425
O -5.390 -3.003 12.253
Rb -3.802 -2.271 9.470
P -0.832 -3.803 10.823
O -2.214 -1.538 6.687
Sn -1.846 -0.834 12.127
O -2.807 -3.065 4.678
O -6.760 -0.850 9.661
O -6.307 -3.036 16.217
Sn -5.758 -3.707 6.813
Sn -0.665 -0.227 6.415
Rb 0.000 0.000 0.000
O -3.706 0.960 8.870
P -2.501 -2.973 6.182
O -5.796 -1.803 7.584
O -1.284 -5.203 11.280
O -6.321 0.662 7.661
O -3.878 -4.142 15.027
Sn -6.940 -4.314 12.526
O -1.310 0.873 8.013
O -1.808 -2.738 11.357
O -3.883 -1.052 11.973
O -6.311 -0.644 12.515
O -6.294 -5.414 10.927
P -6.772 -0.739 8.118
P -5.103 -1.569 12.758
O -3.726 -0.399 3.913
O -1.981 -0.278 10.154
O -0.844 -3.691 9.279
O -3.721 -3.489 6.968
O -1.298 -1.505 2.723
O -4.797 -1.476 14.262
O -5.623 -4.263 8.787
```

space group	R-3
magnetic moment	0.00	μB per formula unit
uncorrected energy	-255.634	eV for the cell shown

***

No. 2
Below is a relaxed structure of Rb2SrP2O7, with properties calculated at the PBEsol level.

Geometry as extended XYZ:
```
24
Lattice="5.861 0.000 0.000 2.930 5.123 -0.020 2.930 1.194 12.870" Properties=species:S:1:pos:R:3 pbc="T T T"
Rb 4.206 4.038 8.556
O 4.729 2.435 4.819
O 8.246 2.558 12.054
P 4.538 4.331 1.723
P 7.184 2.367 8.168
O 7.883 2.176 9.647
Sr 1.465 2.562 -0.010
Sr 4.396 0.597 6.435
O 6.992 3.882 8.031
O 5.859 4.720 4.676
O 9.923 5.594 11.244
O 1.799 0.723 1.606
P 7.184 1.986 11.126
O 5.859 3.562 1.729
Rb 4.585 0.880 2.131
O 9.336 4.523 5.610
Rb 7.137 5.437 10.719
Rb 7.515 2.279 4.294
P 4.538 3.950 4.682
O 5.863 1.597 8.174
O 3.839 4.141 3.202
O 2.385 1.795 7.240
O 3.475 3.759 0.795
O 5.863 2.755 11.120
```

space group	C2/c
magnetic moment	0.00	μB per formula unit
uncorrected energy	-165.202	eV for the cell shown

***

No. 3
Below is a relaxed structure of Rb2Ta2P7O24, with properties calculated at the PBEsol level.

Geometry as extended XYZ:
```
70
Lattice="5.216 -0.035 0.000 -1.092 10.801 0.000 0.000 0.000 18.603" Properties=species:S:1:pos:R:3 pbc="T T T"
O 2.967 10.483 15.488
O 0.193 8.074 4.651
O 1.522 9.538 7.590
O 1.156 0.283 6.187
O 1.263 8.053 9.912
P 3.932 0.419 16.774
O 2.866 10.277 18.021
O 1.837 5.093 3.000
P 0.120 7.572 10.843
Ta 1.355 2.117 9.780
O 3.889 4.807 1.454
O 4.261 9.280 7.728
O 1.522 9.538 1.711
O 4.134 6.213 3.424
O 2.725 6.978 1.509
P 4.003 3.194 1.542
O 1.179 2.617 13.952
O 4.261 9.280 1.573
O 2.944 8.148 4.651
P 1.125 5.018 16.215
O -0.138 1.486 10.875
O 2.866 10.277 9.883
P 4.003 3.194 7.759
O 1.263 8.053 17.992
O 2.602 1.227 11.012
O 3.931 2.692 13.952
O 0.235 5.959 17.148
Rb 1.217 2.920 4.651
O 3.944 2.676 6.373
O -0.138 1.486 17.029
P 3.932 0.419 11.130
O 4.134 6.213 5.877
Ta 2.768 8.649 8.823
O 2.725 6.978 7.792
O 2.602 1.227 16.891
Ta 1.355 2.117 18.124
Rb 0.362 10.650 13.952
P -0.012 3.535 13.952
O 0.179 8.090 15.675
O 3.889 4.807 7.847
O 1.398 3.788 17.094
O 0.179 8.090 12.229
Rb 2.907 7.845 13.952
P 2.999 5.747 6.913
O -0.011 4.553 12.726
O 4.017 7.788 17.819
P 1.125 5.018 11.689
O 0.235 5.959 10.756
O 2.287 5.672 12.301
O -0.011 4.553 15.178
O 1.398 3.788 10.810
O 2.860 2.712 8.691
O 1.257 0.489 0.582
O 3.944 2.676 2.928
O 4.017 7.788 10.085
O 1.257 0.489 8.720
O 2.860 2.712 0.611
O 0.107 2.978 8.518
P 4.136 7.231 4.651
P 0.191 10.346 7.473
P 2.999 5.747 2.388
P 0.120 7.572 17.060
Rb 3.761 0.116 4.651
O 0.107 2.978 0.783
O 1.837 5.093 6.302
Ta 2.768 8.649 0.478
O 2.967 10.483 12.416
O 1.156 0.283 3.114
O 2.287 5.672 15.603
P 0.191 10.346 1.829
```

space group	P2_1/m
magnetic moment	1.16	μB per formula unit
uncorrected energy	-547.005	eV for the cell shown

***

No. 4
Below is a relaxed structure of RbTbP4O12, with properties calculated at the PBEsol level.

Geometry as extended XYZ:
```
72
Lattice="8.903 0.000 0.000 0.000 10.310 0.007 0.000 -3.088 10.517" Properties=species:S:1:pos:R:3 pbc="T T T"
O 7.504 7.887 1.666
P 3.477 0.335 5.014
O 2.973 1.670 5.453
O 1.584 1.610 2.711
O 4.820 6.730 8.685
O 1.399 -0.665 8.858
O 1.886 3.048 9.500
O 4.083 0.492 1.839
P 0.220 0.210 8.181
O 1.479 8.369 0.199
P 0.824 2.885 2.549
P 7.382 9.479 1.419
O 8.478 0.962 9.459
O 4.699 3.478 7.034
Rb 5.031 4.219 10.077
O 5.930 5.552 5.071
O 2.565 -0.563 4.238
O 4.026 -0.440 6.319
O 8.068 5.958 3.205
Rb 3.872 3.002 0.447
O 0.368 4.102 7.101
P 3.628 6.496 7.811
O 1.861 4.117 2.681
O 3.616 7.963 2.064
O 2.590 7.728 7.943
O 7.017 4.174 1.024
O 7.042 3.105 7.843
Tb 2.428 3.028 7.197
Rb 8.323 0.608 4.815
O 6.750 9.638 0.076
P 4.672 0.313 7.598
P 7.929 3.275 0.248
O 5.287 -0.741 8.460
O 8.466 4.129 9.513
P 8.683 7.012 2.344
O 7.424 -1.147 10.325
P 4.231 6.909 2.926
O 0.425 6.259 1.065
O 2.153 -2.417 10.448
Tb 6.880 -2.506 8.582
O 6.604 2.939 5.330
O 4.889 0.519 4.251
O 4.877 7.661 4.205
O 4.204 3.744 3.490
P 5.426 6.886 5.510
O 4.014 6.703 6.273
O 5.851 1.188 6.920
O 6.036 2.000 2.551
O 3.681 1.239 8.245
O 6.338 7.785 6.286
O 6.313 -0.506 2.581
P 5.275 0.725 2.713
O 7.319 5.611 7.813
P 0.974 3.946 10.276
O 0.437 3.092 1.011
O 0.248 7.355 8.752
P 8.079 4.336 7.975
O 3.052 6.034 3.604
Tb 6.475 4.193 3.327
O 8.655 -0.133 1.772
O 8.132 -0.717 7.534
O 2.867 5.221 7.973
P 5.972 2.780 6.673
P 1.521 -2.257 9.105
O 0.771 7.939 2.990
O 2.299 4.283 5.194
O 8.535 3.119 3.423
Rb 0.580 6.613 5.709
P 2.931 4.442 3.851
O 5.222 5.982 2.279
O 0.835 1.263 7.319
Tb 2.023 9.727 1.942
```

space group	P2_1/c
magnetic moment	0.00	μB per formula unit
uncorrected energy	-547.864	eV for the cell shown

***

No. 5
Below is a relaxed structure of RbTcPO2, with properties calculated at the PBEsol level.

Geometry as extended XYZ:
```
5
Lattice="-0.248 -3.831 -0.933 0.863 -0.965 3.732 -5.966 0.048 1.392" Properties=species:S:1:pos:R:3 pbc="T T T"
O -0.124 -1.915 -0.466
Tc -2.676 -2.374 2.096
P -2.983 0.024 0.696
Rb 0.000 0.000 0.000
O 0.432 -0.483 1.866
```

space group	P4/mmm
magnetic moment	3.56	μB per formula unit
uncorrected energy	-20.124	eV for the cell shown

***

No. 6
Below is a relaxed structure of RbTeP2O, with properties calculated at the PBEsol level.

Geometry as extended XYZ:
```
5
Lattice="4.153 0.000 0.000 0.000 5.316 0.000 0.000 0.000 5.316" Properties=species:S:1:pos:R:3 pbc="T T T"
P 0.000 0.000 2.658
O 2.077 0.000 0.000
Te 0.000 0.000 0.000
Rb 2.077 2.658 2.658
P 0.000 2.658 0.000
```

space group	P4/mmm
magnetic moment	1.86	μB per formula unit
uncorrected energy	-20.035	eV for the cell shown